A plane-wave DFT calculation with PBE was carried out for a relaxed Mg2Sc5IrRu2 crystal.

abc: 11.137 11.137 3.259
angles: 90.00 90.00 90.00
Space group P4/mbm (No. 127)
Unique sites:
Mg 0.181 0.319 0.000 x4
Sc 0.000 0.500 0.500 x2
Sc 0.062 0.804 0.500 x8
Ir 0.000 0.000 0.000 x2
Ru 0.133 0.633 0.000 x4

Uncorrected energy ... -6.640 eV per atom
Energy of formation from the pure elements ... -0.414 eV per atom

A plane-wave DFT calculation with PBE was carried out for a relaxed CrCdReI2 crystal.

abc: 5.408 5.408 5.405
angles: 90.00 90.00 90.00
Space group P4/mmm (No. 123)
Unique sites:
Cr 0.000 0.000 0.000 x1
Cd 0.500 0.500 0.000 x1
Re 0.500 0.500 0.500 x1
I 0.000 0.500 0.500 x2

Uncorrected energy ... -4.008 eV per atom
Formation energy (no corrections) ... 1209 meV/atom

A plane-wave DFT calculation with PBE was carried out for a relaxed CoHSBr crystal.

abc: 3.348 3.909 6.454
angles: 82.39 76.19 64.65
Space group P1 (No. 1)
Unique sites:
Co 0.000 0.000 0.000 x1
H 0.871 0.441 0.802 x1
S 0.674 0.842 0.794 x1
Br 0.241 0.322 0.214 x1

Uncorrected energy ... -4.192 eV per atom
Relative energy among the computed polymorphs ... 73.9 meV per atom

The records above give, respectively, total magnetic moment values of 0.00, 3.42, 1.01 μB/f.u..